Compound: AcTb2Pu
Source: the Alexandria database
Functional: GGA-PBE
Structure: optimized geometry

Cell: 5.9540 5.9540 3.8510 Å, 90.00 90.00 90.00°
Atoms (fractional coordinates):
Ac: 0.0000 0.0000 0.0000
Tb: 0.0000 0.5000 0.5000
Tb: 0.5000 0.0000 0.5000
Pu: 0.5000 0.5000 0.0000

Values from the calculation:
DOS(E_F)   3.55 states/eV/atom
Polymorph energy (0 for the lowest one)   0.40 eV/f.u.
Energy of formation   0.977 eV per formula unit



Compound: Ac2TbPu
Source: the Alexandria database
Functional: GGA-PBE
Structure: optimized geometry

Cell: 3.7826 3.7826 10.3688 Å, 90.00 90.00 90.00°
Atoms (fractional coordinates):
Ac: 0.0000 0.0000 0.2474
Ac: 0.0000 0.0000 0.7526
Tb: 0.5000 0.5000 0.5000
Pu: 0.5000 0.5000 0.0000

Values from the calculation:
DOS(E_F)   2.42 states/eV/atom
Polymorph energy (0 for the lowest one)   0.00 eV/f.u.
Energy of formation   0.649 eV per formula unit



Compound: AcTb2Pu
Source: the Alexandria database
Functional: GGA-PBE
Structure: optimized geometry

Cell: 12.7138 12.7138 12.7138 Å, 16.18 16.18 16.18°
Atoms (fractional coordinates):
Ac: 0.0000 0.0000 0.0000
Tb: 0.4137 0.4137 0.4137
Tb: 0.5863 0.5863 0.5863
Pu: 0.5000 0.5000 0.5000

Values from the calculation:
DOS(E_F)   3.27 states/eV/atom
Polymorph energy (0 for the lowest one)   0.82 eV/f.u.
Energy of formation   1.394 eV per formula unit